# 1
Entry from Alexandria via LeMat-Bulk: DyFeB after structural relaxation (GGA-PBE).

```
data_DyFeB
_space_group_name_H-M_alt 'P 4/n m m'
_space_group_IT_number 129
_cell_length_a 3.533
_cell_length_b 3.533
_cell_length_c 7.637
_cell_angle_alpha 90.00
_cell_angle_beta 90.00
_cell_angle_gamma 90.00
loop_
_space_group_symop_operation_xyz
'x,y,z'
'-x,-y,-z'
'-y+1/2,x,z'
'y+1/2,-x,-z'
'-x+1/2,-y+1/2,z'
'x+1/2,y+1/2,-z'
'y,-x+1/2,z'
'-y,x+1/2,-z'
'x+1/2,-y,-z'
'-x+1/2,y,z'
'-y,-x,-z'
'y,x,z'
'-x,y+1/2,-z'
'x,-y+1/2,z'
'y+1/2,x+1/2,-z'
'-y+1/2,-x+1/2,z'
loop_
_atom_site_label
_atom_site_fract_x
_atom_site_fract_y
_atom_site_fract_z
Dy1 0.250 0.250 0.196
Fe1 0.250 0.750 0.500
B1 0.250 0.250 0.635
```

Output
**E_form**: -367 meV per atom

=====

# 2
Entry from Alexandria via LeMat-Bulk: DyFe5B3 after structural relaxation (GGA-PBE).

```
data_DyFe5B3
_space_group_name_H-M_alt 'C m c m'
_space_group_IT_number 63
_space_group_name_Hall '-C 2c 2'
_cell_length_a 3.337
_cell_length_b 11.261
_cell_length_c 10.619
_cell_angle_alpha 90.00
_cell_angle_beta 90.00
_cell_angle_gamma 90.00
loop_
_atom_site_label
_atom_site_fract_x
_atom_site_fract_y
_atom_site_fract_z
Dy1 0.000 0.164 0.250
Fe1 0.000 0.000 0.000
Fe2 0.000 0.196 0.560
Fe3 0.000 0.447 0.144
B1 0.000 0.127 0.750
B2 0.000 0.380 0.547
```

Output
**E_form**: -239 meV per atom

=====

# 3
Entry from Alexandria via LeMat-Bulk: Dy2Fe3B4 after structural relaxation (GGA-PBE).

```
data_Dy2Fe3B4
_space_group_name_H-M_alt 'F m m m'
_space_group_IT_number 69
_space_group_name_Hall '-F 2 2'
_cell_length_a 4.968
_cell_length_b 8.436
_cell_length_c 11.005
_cell_angle_alpha 90.00
_cell_angle_beta 90.00
_cell_angle_gamma 90.00
loop_
_atom_site_label
_atom_site_fract_x
_atom_site_fract_y
_atom_site_fract_z
Dy1 0.000 0.000 0.153
Fe1 0.000 0.000 0.500
Fe2 0.250 0.250 0.000
B1 0.000 0.179 0.368
```

Output
**E_form**: 13 meV per atom

=====

# 4
Entry from Alexandria via LeMat-Bulk: Dy2FeB5 after structural relaxation (GGA-PBE).

```
data_Dy2FeB5
_space_group_name_H-M_alt 'I 4 m m'
_space_group_IT_number 107
_space_group_name_Hall 'I 4 -2'
_cell_length_a 4.966
_cell_length_b 4.966
_cell_length_c 7.729
_cell_angle_alpha 90.00
_cell_angle_beta 90.00
_cell_angle_gamma 90.00
loop_
_atom_site_label
_atom_site_fract_x
_atom_site_fract_y
_atom_site_fract_z
Dy1 0.000 0.500 0.000
Fe1 0.000 0.000 0.222
B1 0.000 0.000 0.914
B2 0.183 0.183 0.754
```

Output
**E_form**: -290 meV per atom

=====

# 5
Entry from Alexandria via LeMat-Bulk: Dy2FeB10 after structural relaxation (GGA-PBE).

```
data_Dy2FeB10
_space_group_name_H-M_alt 'P b a m'
_space_group_IT_number 55
_cell_length_a 5.572
_cell_length_b 11.097
_cell_length_c 4.146
_cell_angle_alpha 90.00
_cell_angle_beta 90.00
_cell_angle_gamma 90.00
loop_
_space_group_symop_operation_xyz
'x,y,z'
'-x,-y,-z'
'-x,-y,z'
'x,y,-z'
'x+1/2,-y+1/2,-z'
'-x+1/2,y+1/2,z'
'-x+1/2,y+1/2,-z'
'x+1/2,-y+1/2,z'
loop_
_atom_site_label
_atom_site_fract_x
_atom_site_fract_y
_atom_site_fract_z
Dy1 0.215 0.129 0.000
Fe1 0.000 0.500 0.500
B1 0.032 0.314 0.500
B2 0.128 0.961 0.500
B3 0.155 0.802 0.500
B4 0.204 0.387 0.201
```

Output
**E_form**: -506 meV per atom

=====

# 6
Entry from Alexandria via LeMat-Bulk: Dy3Fe2B9 after structural relaxation (GGA-PBE).

```
data_Dy3Fe2B9
_space_group_name_H-M_alt 'I m m m'
_space_group_IT_number 71
_space_group_name_Hall '-I 2 2'
_cell_length_a 3.129
_cell_length_b 7.555
_cell_length_c 13.273
_cell_angle_alpha 90.00
_cell_angle_beta 90.00
_cell_angle_gamma 90.00
loop_
_atom_site_label
_atom_site_fract_x
_atom_site_fract_y
_atom_site_fract_z
Dy1 0.000 0.000 0.000
Dy2 0.000 0.000 0.264
Fe1 0.000 0.165 0.500
B1 0.000 0.271 0.120
B2 0.000 0.307 0.371
B3 0.000 0.500 0.000
```

Output
**E_form**: -271 meV per atom

=====

# 7
Entry from Alexandria via LeMat-Bulk: DyFe22B6 after structural relaxation (GGA-PBE).

```
data_DyFe22B6
_space_group_name_H-M_alt 'F m -3 m'
_space_group_IT_number 225
_space_group_name_Hall '-F 4 2 3'
_cell_length_a 10.697
_cell_length_b 10.697
_cell_length_c 10.697
_cell_angle_alpha 90.00
_cell_angle_beta 90.00
_cell_angle_gamma 90.00
loop_
_atom_site_label
_atom_site_fract_x
_atom_site_fract_y
_atom_site_fract_z
Dy1 0.000 0.000 0.000
Fe1 0.000 0.176 0.176
Fe2 0.118 0.118 0.382
Fe3 0.250 0.250 0.250
B1 0.000 0.000 0.273
```

Output
**E_form**: -141 meV per atom

=====

# 8
Entry from Alexandria via LeMat-Bulk: DyFeB2 after structural relaxation (GGA-PBE).

```
data_DyFeB2
_space_group_name_H-M_alt 'P n m a'
_space_group_IT_number 62
_cell_length_a 6.591
_cell_length_b 3.198
_cell_length_c 9.082
_cell_angle_alpha 90.00
_cell_angle_beta 90.00
_cell_angle_gamma 90.00
loop_
_space_group_symop_operation_xyz
'x,y,z'
'-x,-y,-z'
'-x+1/2,-y,z+1/2'
'x+1/2,y,-z+1/2'
'x+1/2,-y+1/2,-z+1/2'
'-x+1/2,y+1/2,z+1/2'
'-x,y+1/2,-z'
'x,-y+1/2,z'
loop_
_atom_site_label
_atom_site_fract_x
_atom_site_fract_y
_atom_site_fract_z
Dy1 0.132 0.250 0.138
Fe1 0.004 0.750 0.401
B1 0.193 0.250 0.839
B2 0.225 0.250 0.419
```

Output
**E_form**: -400 meV per atom

=====

# 9
Entry from Alexandria via LeMat-Bulk: DyFeB2 after structural relaxation (GGA-PBE).

```
data_DyFeB2
_space_group_name_H-M_alt 'R -3 m'
_space_group_IT_number 166
_space_group_name_Hall '-R 3 2"'
_cell_length_a 3.4748
_cell_length_b 3.4748
_cell_length_c 13.9227
_cell_angle_alpha 90.00
_cell_angle_beta 90.00
_cell_angle_gamma 120.00
loop_
_atom_site_label
_atom_site_fract_x
_atom_site_fract_y
_atom_site_fract_z
Dy1 0.0000 0.0000 0.0000
Fe1 0.0000 0.0000 0.5000
B1 0.0000 0.0000 0.1952
```

Output
**E_form**: -290 meV per atom

=====

# 10
Entry from Alexandria via LeMat-Bulk: DyFe10B2 after structural relaxation (GGA-PBE).

```
data_DyFe10B2
_space_group_name_H-M_alt 'C m c m'
_space_group_IT_number 63
_space_group_name_Hall '-C 2c 2'
_cell_length_a 8.162
_cell_length_b 9.193
_cell_length_c 7.874
_cell_angle_alpha 90.00
_cell_angle_beta 90.00
_cell_angle_gamma 90.00
loop_
_atom_site_label
_atom_site_fract_x
_atom_site_fract_y
_atom_site_fract_z
Dy1 0.000 0.115 0.250
Fe1 0.000 0.167 0.594
Fe2 0.000 0.387 0.074
Fe3 0.143 0.385 0.750
Fe4 0.233 0.000 0.000
Fe5 0.242 0.354 0.250
B1 0.250 0.250 0.000
```

Output
**E_form**: -53 meV per atom

=====

# 11
Entry from Alexandria via LeMat-Bulk: DyFeB14 after structural relaxation (GGA-PBE).

```
data_DyFeB14
_space_group_name_H-M_alt 'I m m a'
_space_group_IT_number 74
_space_group_name_Hall '-I 2b 2'
_cell_length_a 5.837
_cell_length_b 10.578
_cell_length_c 8.262
_cell_angle_alpha 90.00
_cell_angle_beta 90.00
_cell_angle_gamma 90.00
loop_
_atom_site_label
_atom_site_fract_x
_atom_site_fract_y
_atom_site_fract_z
Dy1 0.000 0.250 0.132
Fe1 0.250 0.250 0.750
B1 0.000 0.088 0.669
B2 0.000 0.136 0.870
B3 0.000 0.167 0.465
B4 0.161 0.060 0.339
B5 0.248 0.080 0.547
```

Output
**E_form**: -156 meV per atom

=====

# 12
Entry from Alexandria via LeMat-Bulk: DyFe4B4 after structural relaxation (GGA-PBE).

```
data_DyFe4B4
_space_group_name_H-M_alt 'P 42/n'
_space_group_IT_number 86
_cell_length_a 6.940
_cell_length_b 6.940
_cell_length_c 3.818
_cell_angle_alpha 90.00
_cell_angle_beta 90.00
_cell_angle_gamma 90.00
loop_
_space_group_symop_operation_xyz
'x,y,z'
'-x,-y,-z'
'-y,x+1/2,z+1/2'
'y,-x+1/2,-z+1/2'
'-x+1/2,-y+1/2,z'
'x+1/2,y+1/2,-z'
'y+1/2,-x,z+1/2'
'-y+1/2,x,-z+1/2'
loop_
_atom_site_label
_atom_site_fract_x
_atom_site_fract_y
_atom_site_fract_z
Dy1 0.250 0.250 0.250
Fe1 0.118 0.635 0.140
B1 0.051 0.917 0.143
```

Output
**E_form**: -484 meV per atom

=====

# 13
Entry from Alexandria via LeMat-Bulk: DyMnFeB2 after structural relaxation (GGA-PBE).

```
data_DyMnFeB2
_space_group_name_H-M_alt 'I -4 m 2'
_space_group_IT_number 119
_space_group_name_Hall 'I -4 -2'
_cell_length_a 3.547
_cell_length_b 3.547
_cell_length_c 9.721
_cell_angle_alpha 90.00
_cell_angle_beta 90.00
_cell_angle_gamma 90.00
loop_
_atom_site_label
_atom_site_fract_x
_atom_site_fract_y
_atom_site_fract_z
Dy1 0.000 0.000 0.000
Mn1 0.000 0.500 0.750
Fe1 0.000 0.500 0.250
B1 0.000 0.000 0.359
```

Output
**E_form**: -400 meV per atom